1.
The following is a DFT calculation (PBE-GGA) of a relaxed TePd crystal.

Calculated values
N(E_F) in states/eV/f.u.: 2.4
ΔE_f (raw) in eV per atom: -0.08

```
TePd
1.0
-7.6048 -1.6853 2.3954
2.8958 -5.3255 5.4465
0.4390 5.9338 5.5685
Pd Te
8 8
Direct
0.3666 0.6334 0.3666
0.6334 0.3666 0.3666
0.1334 0.8666 0.8666
0.8666 0.8666 0.1334
0.3666 0.3666 0.6334
0.6334 0.6334 0.6334
0.8666 0.1334 0.8666
0.1334 0.1334 0.1334
0.8145 0.8145 0.8145
0.3145 0.6855 0.6855
0.1855 0.8145 0.1855
0.1855 0.1855 0.8145
0.6855 0.6855 0.3145
0.3145 0.3145 0.3145
0.8145 0.1855 0.1855
0.6855 0.3145 0.6855
```

2.
The following is a DFT calculation (PBE-GGA) of a relaxed La4Pm5Ge2 crystal.

Calculated values
N(E_F) in states/eV/f.u.: 15.4
E_form in eV/atom: -0.11

```
La4Pm5Ge2
1.0
3.8008 0.0000 0.0000
1.9004 3.2916 0.0000
1.9004 1.0972 30.3746
Ge La Pm
2 4 5
Direct
0.1113 0.1113 0.6662
0.8887 0.8887 0.3338
0.3154 0.3154 0.0537
0.5777 0.5777 0.2669
0.4223 0.4223 0.7331
0.6846 0.6846 0.9463
0.6174 0.6174 0.1479
0.7999 0.7999 0.6002
0.5000 0.5000 0.5000
0.2001 0.2001 0.3998
0.3826 0.3826 0.8521
```